1.
! Hf2TaO, optimized geometry, DFT PBE; values from VASP
&SYSTEM
  ibrav = 0, nat = 4, ntyp = 3
/
ATOMIC_SPECIES
Hf 178.49 Hf.upf
Ta 180.95 Ta.upf
O 16.00 O.upf
CELL_PARAMETERS angstrom
1.501 0.866 8.697
-1.501 0.866 8.697
0.000 -1.733 8.697
ATOMIC_POSITIONS crystal
Hf 0.108 0.108 0.108
Hf 0.892 0.892 0.892
Ta 0.000 0.000 0.000
O 0.500 0.500 0.500
! * D(E_F): 5.28 states/eV/f.u.
! * total DFT energy (no corrections): -39.7 eV for the cell shown
! * crystal system: trigonal
! * uncorrected formation energy: -73 kJ per mole of atoms

2.
! BaTm4Pb3O12, optimized geometry, DFT PBE; values from VASP
&SYSTEM
  ibrav = 0, nat = 20, ntyp = 4
/
ATOMIC_SPECIES
Ba 137.33 Ba.upf
Tm 168.93 Tm.upf
Pb 207.20 Pb.upf
O 16.00 O.upf
CELL_PARAMETERS angstrom
-4.241 4.241 4.241
4.241 -4.241 4.241
4.241 4.241 -4.241
ATOMIC_POSITIONS crystal
Ba 0.000 0.000 0.000
Tm 0.000 0.000 0.500
Tm 0.000 0.500 0.000
Tm 0.500 0.000 0.000
Tm 0.500 0.500 0.500
Pb 0.000 0.500 0.500
Pb 0.500 0.000 0.500
Pb 0.500 0.500 0.000
O 0.120 0.304 0.816
O 0.184 0.488 0.304
O 0.184 0.880 0.696
O 0.304 0.184 0.488
O 0.304 0.816 0.120
O 0.488 0.304 0.184
O 0.512 0.696 0.816
O 0.696 0.184 0.880
O 0.696 0.816 0.512
O 0.816 0.120 0.304
O 0.816 0.512 0.696
O 0.880 0.696 0.184
! * D(E_F): 9.30 states/eV/f.u.
! * total DFT energy (no corrections): -137.9 eV for the cell shown
! * crystal system: cubic
! * uncorrected formation energy: -229 kJ per mole of atoms

3.
! YFeTc2, optimized geometry, DFT PBE; values from VASP
&SYSTEM
  ibrav = 0, nat = 4, ntyp = 3
/
ATOMIC_SPECIES
Y 88.91 Y.upf
Fe 55.84 Fe.upf
Tc 98.00 Tc.upf
CELL_PARAMETERS angstrom
1.473 0.851 8.908
-1.473 0.851 8.908
0.000 -1.701 8.908
ATOMIC_POSITIONS crystal
Y 0.000 0.000 0.000
Fe 0.500 0.500 0.500
Tc 0.238 0.238 0.238
Tc 0.762 0.762 0.762
! * D(E_F): 3.47 states/eV/f.u.
! * E_form: 0.542 eV/atom
! * total DFT energy (no corrections): -33.5 eV for the cell shown
! * crystal system: trigonal
! * relative energy among the computed polymorphs: 396.7 meV per atom

4.
! CdInSeN2, optimized geometry, DFT PBE; values from VASP
&SYSTEM
  ibrav = 0, nat = 5, ntyp = 4
/
ATOMIC_SPECIES
Cd 112.41 Cd.upf
In 114.82 In.upf
Se 78.96 Se.upf
N 14.01 N.upf
CELL_PARAMETERS angstrom
4.263 0.000 0.000
0.000 4.263 0.000
0.000 0.000 5.873
ATOMIC_POSITIONS crystal
Cd 0.000 0.000 0.000
In 0.500 0.500 0.500
Se 0.500 0.500 0.000
N 0.000 0.500 0.500
N 0.500 0.000 0.500
! * D(E_F): 1.51 states/eV/f.u.
! * total DFT energy (no corrections): -17.8 eV for the cell shown
! * crystal system: tetragonal
! * uncorrected formation energy: 115 kJ per mole of atoms
! * relative energy among the computed polymorphs: 0.0 meV per atom